Compound: SiMoIr2
Source: Alexandria via LeMat-Bulk
Functional: PBE-GGA
Structure: optimized geometry

a = 2.814 Å, b = 3.795 Å, c = 5.389 Å
α = 90.00°, β = 90.00°, γ = 90.00°
Space group Pmmm (No. 47)
Unique sites:
Si  0.000  0.000  0.000 x1
Mo  0.000  0.000  0.500 x1
Ir  0.500  0.500  0.247 x2

Values from the calculation:
Magnetic moment (μB per formula unit): 0.0
E_form (uncorrected) (meV per atom): -260